An optimized crystal structure of Li2B3C3. Source: Alexandria via LeMat-Bulk, functional GGA-PBE.

Lattice parameters (Å, degrees): 2.7229 2.7229 20.9622 90.00 90.00 120.00
With the nearest neighbours (Å) after each atom.
Space group P-3m1 (No. 164)
Symmetry-distinct sites (fractional):
Li 0.0000 0.0000 0.0000 (multiplicity 1)  6 C 2.37, 6 B 2.37
Li 0.0000 0.0000 0.1723 (multiplicity 2)  6 C 2.32-2.42, 6 B 2.38-2.42
Li 0.0000 0.0000 0.5000 (multiplicity 1)  6 C 2.34, 6 B 2.38
B 0.3333 0.6667 0.2573 (multiplicity 2)  3 C 1.57
B 0.3333 0.6667 0.5853 (multiplicity 2)  3 C 1.57
B 0.3333 0.6667 0.9152 (multiplicity 2)  3 C 1.57
C 0.3333 0.6667 0.0844 (multiplicity 2)  3 B 1.57
C 0.3333 0.6667 0.4176 (multiplicity 2)  3 B 1.57
C 0.3333 0.6667 0.7462 (multiplicity 2)  3 B 1.57

Computed properties:
Crystal system: trigonal
Total DFT energy (no corrections): -6.575 eV per atom

---

An optimized crystal structure of CaPN2. Source: Alexandria via LeMat-Bulk, functional GGA-PBE.

Lattice parameters (Å, degrees): 3.3087 3.1537 5.1652 90.00 90.30 90.00
With the nearest neighbours (Å) after each atom.
Space group Pm (No. 6)
Symmetry-distinct sites (fractional):
Ca 0.0000 0.0000 0.0000 (multiplicity 1)  6 N 2.46-2.53
P 0.4985 0.5000 0.5180 (multiplicity 1)  3 N 1.59-1.75
N 0.4982 0.5000 0.8254 (multiplicity 1)  1 P 1.59
N 0.5037 0.0000 0.3700 (multiplicity 1)  2 P 1.75

Computed properties:
Crystal system: monoclinic
Total DFT energy (no corrections): -6.552 eV per atom

---

An optimized crystal structure of CsK2In3Cl6. Source: Alexandria via LeMat-Bulk, functional GGA-PBE.

Lattice parameters (Å, degrees): 20.2237 4.6223 9.2801 90.00 101.76 90.00
With the nearest neighbours (Å) after each atom.
Space group C2/m (No. 12)
Symmetry-distinct sites (fractional):
Cs 0.0000 0.0000 0.0000 (multiplicity 2)  6 Cl 3.41-3.59
K 0.1693 0.5000 0.3461 (multiplicity 4)  6 Cl 3.11-3.25
In 0.0000 0.0000 0.5000 (multiplicity 2)  6 Cl 3.16-3.40
In 0.1719 0.5000 0.8297 (multiplicity 4)  3 Cl 2.92-3.18
Cl 0.0121 0.5000 0.2743 (multiplicity 4)  1 K 3.11, 2 In 3.16, 2 Cs 3.41
Cl 0.1714 0.0000 0.5936 (multiplicity 4)  3 K 3.16-3.25, 3 In 3.18-3.40
Cl 0.1806 0.0000 0.1109 (multiplicity 4)  1 In 2.92, 2 K 3.22

Computed properties:
Crystal system: monoclinic
Total DFT energy (no corrections): -3.234 eV per atom

---

An optimized crystal structure of Tb5Y5Er. Source: Alexandria via LeMat-Bulk, functional GGA-PBE.

Lattice parameters (Å, degrees): 6.0943 6.0943 11.4446 90.00 90.00 120.00
With the nearest neighbours (Å) after each atom.
Space group P-6m2 (No. 187)
Symmetry-distinct sites (fractional):
Tb 0.0000 0.0000 0.2353 (multiplicity 2)  1 Y 3.03, 3 Tb 3.23
Tb 0.3376 0.1688 0.0000 (multiplicity 3)  6 Tb 3.01-3.23
Y 0.0000 0.0000 0.5000 (multiplicity 1)  2 Tb 3.03
Y 0.3333 0.6667 0.1817 (multiplicity 2)  9 Tb 3.57-3.69, 1 Er 3.64, 3 Y 3.96
Y 0.6667 0.3333 0.3407 (multiplicity 2)  7 Y 3.65-3.96, 3 Tb 3.72, 3 Er 3.96
Er 0.3333 0.6667 0.5000 (multiplicity 1)  5 Y 3.52-3.64

Computed properties:
Crystal system: hexagonal
Total DFT energy (no corrections): -5.147 eV per atom

---

An optimized crystal structure of CoW2Cl. Source: Alexandria via LeMat-Bulk, functional GGA-PBE.

Lattice parameters (Å, degrees): 3.0724 3.0724 6.6490 90.00 90.00 90.00
With the nearest neighbours (Å) after each atom.
Space group P4mm (No. 99)
Symmetry-distinct sites (fractional):
Co 0.0000 0.0000 0.0000 (multiplicity 1)  4 W 2.53, 4 Cl 2.80
W 0.0000 0.0000 0.4334 (multiplicity 1)  4 W 2.69, 1 Co 2.88, 4 Cl 2.96
W 0.5000 0.5000 0.1944 (multiplicity 1)  4 Co 2.53, 4 W 2.69
Cl 0.5000 0.5000 0.7349 (multiplicity 1)  4 Co 2.80, 5 W 2.96-3.06, 4 Cl 3.07

Computed properties:
Crystal system: tetragonal
Total DFT energy (no corrections): -8.153 eV per atom

---

An optimized crystal structure of BaTi2GaO. Source: Alexandria via LeMat-Bulk, functional GGA-PBE.

Lattice parameters (Å, degrees): 5.0334 5.0334 5.6464 90.00 90.00 90.00
With the nearest neighbours (Å) after each atom.
Space group P4/mmm (No. 123)
Symmetry-distinct sites (fractional):
Ba 0.0000 0.0000 0.0000 (multiplicity 1)  4 Ti 2.52
Ti 0.0000 0.5000 0.0000 (multiplicity 2)  2 Ba 2.52
Ga 0.0000 0.0000 0.5000 (multiplicity 1)  2 Ba 2.82
O 0.5000 0.5000 0.5000 (multiplicity 1)  4 Ga 3.56, 8 Ti 3.78

Computed properties:
Crystal system: tetragonal
Total DFT energy (no corrections): -3.045 eV per atom

---

An optimized crystal structure of FeTc3Rh. Source: Alexandria via LeMat-Bulk, functional GGA-PBE.

Lattice parameters (Å, degrees): 4.3423 4.3423 4.3423 90.00 90.00 90.00
With the nearest neighbours (Å) after each atom.
Space group Pm-3m (No. 221)
Symmetry-distinct sites (fractional):
Fe 0.0000 0.0000 0.0000 (multiplicity 1)  6 Tc 2.17
Tc 0.0000 0.0000 0.5000 (multiplicity 3)  2 Fe 2.17
Rh 0.5000 0.5000 0.5000 (multiplicity 1)  12 Tc 3.07

Computed properties:
Crystal system: cubic
Total DFT energy (no corrections): -8.125 eV per atom

---

An optimized crystal structure of CdHgAu3. Source: Alexandria via LeMat-Bulk, functional GGA-PBE.

Lattice parameters (Å, degrees): 5.2245 5.2245 5.2245 90.00 90.00 90.00
With the nearest neighbours (Å) after each atom.
Space group Pm-3m (No. 221)
Symmetry-distinct sites (fractional):
Cd 0.0000 0.0000 0.0000 (multiplicity 1)  6 Au 2.61
Hg 0.5000 0.5000 0.5000 (multiplicity 1)  12 Au 3.69
Au 0.0000 0.0000 0.5000 (multiplicity 3)  2 Cd 2.61

Computed properties:
Crystal system: cubic
Total DFT energy (no corrections): -1.633 eV per atom

---

An optimized crystal structure of PrHoPu. Source: Alexandria via LeMat-Bulk, functional GGA-PBE.

Lattice parameters (Å, degrees): 3.5718 8.4836 11.3799 90.00 95.36 90.00
With the nearest neighbours (Å) after each atom.
Space group P2_1/c (No. 14)
Symmetry-distinct sites (fractional):
Pr 0.0035 0.1678 0.1827 (multiplicity 4)  2 Pu 3.21-3.49, 5 Ho 3.35-3.56, 2 Pr 3.57
Ho 0.4831 0.6633 0.5894 (multiplicity 4)  2 Pu 3.07-3.41, 2 Pr 3.35-3.41
Pu 0.2682 0.0127 0.5633 (multiplicity 4)  2 Pu 2.30

Computed properties:
Crystal system: monoclinic
Total DFT energy (no corrections): -7.638 eV per atom

---

An optimized crystal structure of Ce6In2Os. Source: Alexandria via LeMat-Bulk, functional GGA-PBE.

Lattice parameters (Å, degrees): 3.6271 15.2508 8.7918 90.00 90.00 90.00
With the nearest neighbours (Å) after each atom.
Space group Amm2 (No. 38)
Symmetry-distinct sites (fractional):
Ce 0.0000 0.0000 0.0000 (multiplicity 2)  2 Os 2.84
Ce 0.0000 0.1238 0.6280 (multiplicity 4)  2 Os 2.84
Ce 0.5000 0.0000 0.3705 (multiplicity 2)  4 In 3.29, 1 Os 3.35, 6 Ce 3.46-3.63
Ce 0.5000 0.1902 0.9420 (multiplicity 4)  4 In 3.29, 1 Os 3.35, 6 Ce 3.45-3.63
In 0.0000 0.1668 0.2519 (multiplicity 4)  9 Ce 3.29-3.37, 2 In 3.63
Os 0.5000 0.0000 0.7519 (multiplicity 2)  6 Ce 2.84

Computed properties:
Crystal system: orthorhombic
Total DFT energy (no corrections): -6.025 eV per atom

---

An optimized crystal structure of Hf6ReNi5. Source: Alexandria via LeMat-Bulk, functional GGA-PBE.

Lattice parameters (Å, degrees): 4.5528 6.3241 13.6770 90.00 90.00 90.00
With the nearest neighbours (Å) after each atom.
Space group Immm (No. 71)
Symmetry-distinct sites (fractional):
Hf 0.0000 0.2477 0.0000 (multiplicity 4)  6 Ni 2.72-2.76, 2 Re 2.78
Hf 0.0000 0.2505 0.3318 (multiplicity 8)  7 Ni 2.77-2.82, 1 Re 2.79
Re 0.0000 0.0000 0.5000 (multiplicity 2)  8 Hf 2.78-2.79
Ni 0.0000 0.0000 0.1660 (multiplicity 4)  8 Hf 2.76-2.77
Ni 0.0000 0.5000 0.1611 (multiplicity 4)  8 Hf 2.72-2.82
Ni 0.0000 0.5000 0.5000 (multiplicity 2)  8 Hf 2.76-2.79

Computed properties:
Crystal system: orthorhombic
Total DFT energy (no corrections): -8.846 eV per atom

---

An optimized crystal structure of La8CuTc2. Source: Alexandria via LeMat-Bulk, functional GGA-PBE.

Lattice parameters (Å, degrees): 8.4514 13.5180 6.3736 90.00 109.85 90.00
With the nearest neighbours (Å) after each atom.
Space group Cm (No. 8)
Symmetry-distinct sites (fractional):
La 0.0000 0.0000 0.0000 (multiplicity 2)  1 Cu 3.01
La 0.0888 0.3661 0.8274 (multiplicity 4)  1 Tc 2.53
La 0.1434 0.1326 0.6166 (multiplicity 4)  1 Tc 2.66
La 0.2192 0.5000 0.4027 (multiplicity 2)  1 Cu 3.13, 2 Tc 3.16
La 0.3848 0.2127 0.2235 (multiplicity 4)  1 Cu 3.11, 1 Tc 3.39, 1 La 3.42
Cu 0.3635 0.0000 0.0310 (multiplicity 2)  8 La 3.01-3.21
Tc 0.3124 0.3019 0.6796 (multiplicity 4)  2 La 2.53-2.66

Computed properties:
Crystal system: monoclinic
Total DFT energy (no corrections): -5.816 eV per atom

---

An optimized crystal structure of BaLaTeN2. Source: Alexandria via LeMat-Bulk, functional GGA-PBE.

Lattice parameters (Å, degrees): 4.6951 4.6951 6.5371 90.00 90.00 90.00
With the nearest neighbours (Å) after each atom.
Space group P4/mmm (No. 123)
Symmetry-distinct sites (fractional):
Ba 0.0000 0.0000 0.0000 (multiplicity 1)  4 N 2.35
La 0.5000 0.5000 0.5000 (multiplicity 1)  4 Te 3.32
Te 0.0000 0.0000 0.5000 (multiplicity 1)  2 Ba 3.27, 4 La 3.32
N 0.0000 0.5000 0.0000 (multiplicity 2)  2 Ba 2.35

Computed properties:
Crystal system: tetragonal
Total DFT energy (no corrections): -4.721 eV per atom

---

An optimized crystal structure of Tb5PmSm2Dy. Source: Alexandria via LeMat-Bulk, functional GGA-PBE.

Lattice parameters (Å, degrees): 8.7474 8.7474 15.4778 90.00 90.00 90.00
With the nearest neighbours (Å) after each atom.
Space group I4/mcm (No. 140)
Symmetry-distinct sites (fractional):
Tb 0.0000 0.0000 0.0000 (multiplicity 4)  4 Sm 3.51, 8 Tb 3.79, 2 Pm 3.87
Tb 0.2088 0.2912 0.1372 (multiplicity 16)  1 Sm 3.03, 1 Dy 3.12
Pm 0.0000 0.0000 0.2500 (multiplicity 4)  10 Tb 3.59-3.87
Sm 0.1166 0.3834 0.5000 (multiplicity 8)  1 Sm 2.88, 2 Tb 3.03
Dy 0.0000 0.5000 0.2500 (multiplicity 4)  4 Tb 3.12

Computed properties:
Crystal system: tetragonal
Total DFT energy (no corrections): -4.386 eV per atom

---

An optimized crystal structure of AgAsS6. Source: Alexandria via LeMat-Bulk, functional GGA-PBE.

Lattice parameters (Å, degrees): 3.8483 7.3853 7.6193 115.83 95.39 101.79
With the nearest neighbours (Å) after each atom.
Space group P-1 (No. 2)
Symmetry-distinct sites (fractional):
Ag 0.0000 0.0000 0.0000 (multiplicity 1)  4 S 2.43-2.54
As 0.0000 0.0000 0.5000 (multiplicity 1)  4 S 2.27-2.52
S 0.0919 0.2140 0.8316 (multiplicity 2)  1 As 2.27, 1 Ag 2.43
S 0.3557 0.7492 0.5023 (multiplicity 2)  1 S 1.97
S 0.4252 0.7357 0.7552 (multiplicity 2)  1 S 1.97

Computed properties:
Crystal system: triclinic
Total DFT energy (no corrections): -3.818 eV per atom

---

An optimized crystal structure of AcPm2RuO8. Source: Alexandria via LeMat-Bulk, functional GGA-PBE.

Lattice parameters (Å, degrees): 4.6053 5.3518 7.2607 94.22 91.75 91.42
With the nearest neighbours (Å) after each atom.
Space group P-1 (No. 2)
Symmetry-distinct sites (fractional):
Ac 0.0000 0.0000 0.0000 (multiplicity 1)  6 O 2.39-2.62
Pm 0.4525 0.4574 0.7451 (multiplicity 2)  5 O 2.25-2.41
Ru 0.0000 0.0000 0.5000 (multiplicity 1)  6 O 1.88-2.04
O 0.0854 0.7407 0.2888 (multiplicity 2)  1 Ru 2.04
O 0.1932 0.8284 0.6834 (multiplicity 2)  1 Ru 1.89
O 0.3215 0.2117 0.4612 (multiplicity 2)  1 Ru 1.88
O 0.4303 0.2615 0.0084 (multiplicity 2)  2 Pm 2.25-2.29, 1 Ac 2.39

Computed properties:
Crystal system: triclinic
Total DFT energy (no corrections): -7.498 eV per atom

---

An optimized crystal structure of SrMn2FeCo. Source: Alexandria via LeMat-Bulk, functional GGA-PBE.

Lattice parameters (Å, degrees): 4.5077 4.5077 4.5717 90.00 90.00 90.00
With the nearest neighbours (Å) after each atom.
Space group P4/mmm (No. 123)
Symmetry-distinct sites (fractional):
Sr 0.0000 0.0000 0.0000 (multiplicity 1)  4 Co 3.19, 8 Mn 3.21
Mn 0.0000 0.5000 0.5000 (multiplicity 2)  2 Fe 2.25
Fe 0.5000 0.5000 0.5000 (multiplicity 1)  4 Mn 2.25, 2 Co 2.29
Co 0.5000 0.5000 0.0000 (multiplicity 1)  2 Fe 2.29

Computed properties:
Crystal system: tetragonal
Total DFT energy (no corrections): -6.402 eV per atom

---

An optimized crystal structure of Ca3Pd2Pb. Source: Alexandria via LeMat-Bulk, functional GGA-PBE.

Lattice parameters (Å, degrees): 3.5387 3.5387 11.8360 90.00 90.00 90.00
With the nearest neighbours (Å) after each atom.
Space group P4/mmm (No. 123)
Symmetry-distinct sites (fractional):
Ca 0.0000 0.0000 0.0000 (multiplicity 1)  8 Pd 3.06
Ca 0.0000 0.0000 0.2993 (multiplicity 2)  4 Pd 3.07
Pd 0.5000 0.5000 0.1491 (multiplicity 2)  8 Ca 3.06-3.07
Pb 0.5000 0.5000 0.5000 (multiplicity 1)  8 Ca 3.45, 4 Pb 3.54

Computed properties:
Crystal system: tetragonal
Total DFT energy (no corrections): -3.970 eV per atom

---

An optimized crystal structure of Ni2AgSb. Source: Alexandria via LeMat-Bulk, functional GGA-PBE.

Lattice parameters (Å, degrees): 3.2143 3.3157 5.7750 90.00 90.00 90.00
With the nearest neighbours (Å) after each atom.
Space group Pmmm (No. 47)
Symmetry-distinct sites (fractional):
Ni 0.0000 0.0000 0.2343 (multiplicity 2)  4 Sb 2.68, 1 Ni 2.71, 4 Ag 2.77
Ag 0.5000 0.5000 0.5000 (multiplicity 1)  8 Ni 2.77, 2 Sb 2.89
Sb 0.5000 0.5000 0.0000 (multiplicity 1)  8 Ni 2.68, 2 Ag 2.89

Computed properties:
Crystal system: orthorhombic
Total DFT energy (no corrections): -4.540 eV per atom

---

An optimized crystal structure of AsRh2O6. Source: Alexandria via LeMat-Bulk, functional GGA-PBE.

Lattice parameters (Å, degrees): 4.5095 5.1081 8.5460 90.00 90.00 90.00
With the nearest neighbours (Å) after each atom.
Space group Pnnm (No. 58)
Symmetry-distinct sites (fractional):
As 0.0000 0.0000 0.0000 (multiplicity 2)  6 O 1.89-1.90
Rh 0.0000 0.5000 0.1810 (multiplicity 4)  6 O 2.02-2.04
O 0.2128 0.3180 0.0000 (multiplicity 4)  1 As 1.89, 2 Rh 2.04
O 0.2346 0.8352 0.1555 (multiplicity 8)  1 As 1.90, 2 Rh 2.02

Computed properties:
Crystal system: orthorhombic
Total DFT energy (no corrections): -6.325 eV per atom